# Li3TiV3O8, relaxed, DFT PBE with a Hubbard U
# M_tot, Bohr magnetons per cell: 12.00
# Raw total energy, eV/atom: -7.284
# Energy above the lowest structure with this stoichiometry, meV/atom: 34
data_Li3TiV3O8
_chemical_formula_sum 'Li6 Ti2 V6 O16'
_cell_length_a 12.335
_cell_length_b 4.085
_cell_length_c 6.650
_cell_angle_alpha 90.00
_cell_angle_beta 107.43
_cell_angle_gamma 90.00
_symmetry_space_group_name_H-M 'C 1 m 1'
_symmetry_Int_Tables_number 8
loop_
_symmetry_equiv_pos_as_xyz
'x,y,z'
'x,-y,z'
'x+1/2,y+1/2,z'
'x+1/2,-y+1/2,z'
loop_
_atom_site_label
_atom_site_type_symbol
_atom_site_fract_x
_atom_site_fract_y
_atom_site_fract_z
Li1 Li 0.000 0.000 0.000
Li2 Li 0.115 0.000 0.644
Li3 Li 0.237 0.000 0.363
Ti1 Ti 0.379 0.500 0.290
V1 V 0.065 0.500 0.305
V2 V 0.284 0.500 0.694
V3 V 0.465 0.000 0.704
O1 O 0.026 0.500 0.002
O2 O 0.053 0.000 0.320
O3 O 0.115 0.500 0.633
O4 O 0.240 0.500 0.358
O5 O 0.293 0.000 0.675
O6 O 0.336 0.500 0.017
O7 O 0.402 0.000 0.352
O8 O 0.449 0.500 0.677